No. 1
{"formula": "NaSr8LaTi10O30", "functional": "SCAN", "state": "PBEsol geometry", "e_form_raw_ev_per_atom": -3.44, "vol_a3_per_atom": 11.789, "spacegroup": "P4/mmm (123)", "lattice": [[5.504, 0.000, 0.000], [0.000, 5.504, 0.000], [0.000, 0.000, 19.458]], "species": ["Na", "Sr", "Sr", "Sr", "Sr", "Sr", "Sr", "Sr", "Sr", "La", "Ti", "Ti", "Ti", "Ti", "Ti", "Ti", "Ti", "Ti", "Ti", "Ti", "O", "O", "O", "O", "O", "O", "O", "O", "O", "O", "O", "O", "O", "O", "O", "O", "O", "O", "O", "O", "O", "O", "O", "O", "O", "O", "O", "O", "O", "O"], "frac_coords": [[0.000, 0.000, 0.000], [0.000, 0.000, 0.199], [0.500, 0.500, 0.200], [0.500, 0.500, 0.400], [0.500, 0.500, 0.600], [0.500, 0.500, 0.800], [0.000, 0.000, 0.400], [0.000, 0.000, 0.600], [0.000, 0.000, 0.801], [0.500, 0.500, 0.000], [0.000, 0.500, 0.500], [0.000, 0.500, 0.300], [0.000, 0.500, 0.901], [0.000, 0.500, 0.700], [0.000, 0.500, 0.099], [0.500, 0.000, 0.300], [0.500, 0.000, 0.500], [0.500, 0.000, 0.901], [0.500, 0.000, 0.099], [0.500, 0.000, 0.700], [0.000, 0.500, 0.400], [0.000, 0.500, 0.801], [0.250, 0.750, 0.299], [0.250, 0.750, 0.500], [0.250, 0.750, 0.701], [0.256, 0.744, 0.902], [0.256, 0.744, 0.098], [0.500, 0.000, 0.400], [0.250, 0.250, 0.299], [0.500, 0.000, 0.199], [0.250, 0.250, 0.500], [0.250, 0.250, 0.701], [0.256, 0.256, 0.098], [0.500, 0.000, 0.801], [0.500, 0.000, 0.000], [0.256, 0.256, 0.902], [0.500, 0.000, 0.600], [0.750, 0.250, 0.299], [0.750, 0.250, 0.500], [0.750, 0.250, 0.701], [0.744, 0.256, 0.902], [0.744, 0.256, 0.098], [0.750, 0.750, 0.299], [0.750, 0.750, 0.500], [0.750, 0.750, 0.701], [0.744, 0.744, 0.902], [0.000, 0.500, 0.199], [0.000, 0.500, 0.600], [0.744, 0.744, 0.098], [0.000, 0.500, 0.000]]}



No. 2
{"formula": "NaLaTa2O7", "functional": "SCAN", "state": "PBEsol geometry", "e_form_raw_ev_per_atom": -3.17, "vol_a3_per_atom": 14.646, "spacegroup": "I-4m2 (119)", "lattice": [[3.883, 0.000, 0.000], [0.000, 3.883, 0.000], [-1.942, -1.942, 10.683]], "species": ["Na", "La", "Ta", "Ta", "O", "O", "O", "O", "O", "O", "O"], "frac_coords": [[0.750, 0.250, 0.500], [0.000, 0.000, 0.000], [0.395, 0.395, 0.790], [0.605, 0.605, 0.210], [0.311, 0.311, 0.622], [0.689, 0.689, 0.378], [0.586, 0.086, 0.171], [0.084, 0.584, 0.169], [0.416, 0.916, 0.831], [0.914, 0.414, 0.829], [0.500, 0.500, 0.000]]}



No. 3
{"formula": "NaLaTiO4", "functional": "SCAN", "state": "PBEsol geometry", "e_form_raw_ev_per_atom": -3.27, "vol_a3_per_atom": 13.077, "spacegroup": "P4/nmm (129)", "lattice": [[-1.382, 1.312, -3.226], [-0.928, -3.484, -1.020], [-11.685, 1.471, 5.603]], "species": ["Na", "Na", "La", "La", "Ti", "Ti", "O", "O", "O", "O", "O", "O", "O", "O"], "frac_coords": [[0.500, 0.000, 0.584], [0.000, 0.500, 0.416], [0.000, 0.500, 0.109], [0.500, 0.000, 0.891], [0.500, 0.000, 0.274], [0.000, 0.500, 0.726], [0.000, 0.500, 0.929], [0.500, 0.000, 0.071], [0.000, 0.500, 0.592], [0.500, 0.000, 0.408], [0.000, 0.000, 0.238], [0.500, 0.500, 0.238], [0.000, 0.000, 0.762], [0.500, 0.500, 0.762]]}



No. 4
{"formula": "NaLaW2O8", "functional": "SCAN", "state": "PBEsol geometry", "e_form_raw_ev_per_atom": -2.72, "vol_a3_per_atom": 13.625, "spacegroup": "I-4 (82)", "lattice": [[5.341, 0.000, 0.000], [0.000, 5.341, 0.000], [-2.671, -2.671, 5.731]], "species": ["Na", "La", "W", "W", "O", "O", "O", "O", "O", "O", "O", "O"], "frac_coords": [[0.000, 0.000, 0.000], [0.750, 0.250, 0.500], [0.250, 0.750, 0.500], [0.500, 0.500, 0.000], [0.010, 0.903, 0.330], [0.320, 0.428, 0.330], [0.176, 0.263, 0.823], [0.647, 0.560, 0.823], [0.737, 0.353, 0.177], [0.440, 0.824, 0.177], [0.572, 0.990, 0.670], [0.097, 0.680, 0.670]]}



No. 5
{"formula": "NaLaZr2O6", "functional": "SCAN", "state": "PBEsol geometry", "e_form_raw_ev_per_atom": -3.50, "vol_a3_per_atom": 13.354, "spacegroup": "Imm2 (44)", "lattice": [[-1.791, 0.012, 5.445], [0.119, -4.836, 3.067], [3.787, -0.528, 4.264]], "species": ["Na", "La", "Zr", "Zr", "O", "O", "O", "O", "O", "O"], "frac_coords": [[0.512, 0.000, 0.000], [0.979, 0.500, 0.500], [0.245, 0.752, 0.752], [0.750, 0.248, 0.248], [0.565, 0.934, 0.453], [0.952, 0.066, 0.547], [0.565, 0.453, 0.934], [0.952, 0.547, 0.066], [0.092, 0.000, 0.000], [0.388, 0.500, 0.500]]}



No. 6
{"formula": "NaSrLa2Os", "functional": "SCAN", "state": "PBEsol geometry", "formation_enthalpy_0k_ev_per_atom": 0.1090, "vol_a3_per_atom": 35.682, "spacegroup": "P4/mmm (123)", "lattice": [[-3.662, -2.228, -3.285], [3.481, 0.346, -4.115], [2.161, -5.558, 1.360]], "species": ["Na", "Sr", "Os", "La", "La"], "frac_coords": [[0.000, 0.000, 0.500], [0.500, 0.500, 0.500], [0.000, 0.000, 0.000], [0.000, 0.500, 0.000], [0.500, 0.000, 0.000]]}



No. 7
{"formula": "NaLaP2W", "functional": "SCAN", "state": "PBEsol geometry", "formation_enthalpy_0k_ev_per_atom": -0.0102, "vol_a3_per_atom": 21.717, "spacegroup": "P4/mmm (123)", "lattice": [[-0.923, -0.197, 4.558], [0.045, -4.650, -0.192], [4.913, 0.007, 0.995]], "species": ["P", "P", "Na", "W", "La"], "frac_coords": [[0.000, 0.500, 0.000], [0.500, 0.000, 0.000], [0.000, 0.000, 0.500], [0.000, 0.000, 0.000], [0.500, 0.500, 0.500]]}



No. 8
{"formula": "Na2LaPdPb", "functional": "SCAN", "state": "PBEsol geometry", "formation_enthalpy_0k_ev_per_atom": -0.2146, "vol_a3_per_atom": 29.866, "spacegroup": "P4/mmm (123)", "lattice": [[-0.638, -3.625, 3.712], [5.161, -0.830, 0.076], [0.561, 3.840, 3.846]], "species": ["Pb", "Na", "Na", "Pd", "La"], "frac_coords": [[0.500, 0.500, 0.500], [0.000, 0.500, 0.000], [0.500, 0.000, 0.000], [0.000, 0.000, 0.000], [0.000, 0.000, 0.500]]}



No. 9
{"formula": "NaLa2Pt2", "functional": "SCAN", "state": "PBEsol geometry", "formation_enthalpy_0k_ev_per_atom": -1.0359, "vol_a3_per_atom": 24.685, "spacegroup": "P4/mbm (127)", "lattice": [[-3.014, 1.610, 1.742], [-0.028, -5.917, 5.417], [4.961, 4.244, 4.662]], "species": ["Na", "Na", "Pt", "Pt", "Pt", "Pt", "La", "La", "La", "La"], "frac_coords": [[0.000, 0.000, 0.000], [0.000, 0.500, 0.500], [0.000, 0.367, 0.867], [0.000, 0.867, 0.633], [0.000, 0.633, 0.133], [0.000, 0.133, 0.367], [0.500, 0.161, 0.661], [0.500, 0.661, 0.839], [0.500, 0.839, 0.339], [0.500, 0.339, 0.161]]}



No. 10
{"formula": "NaLaPt3", "functional": "SCAN", "state": "PBEsol geometry", "formation_enthalpy_0k_ev_per_atom": 0.2057, "vol_a3_per_atom": 20.283, "spacegroup": "Pm-3m (221)", "lattice": [[-3.435, -1.046, -2.975], [0.669, -4.541, 0.824], [-3.082, 0.180, 3.495]], "species": ["Na", "Pt", "Pt", "Pt", "La"], "frac_coords": [[0.000, 0.000, 0.000], [0.000, 0.500, 0.000], [0.000, 0.000, 0.500], [0.500, 0.000, 0.000], [0.500, 0.500, 0.500]]}



No. 11
{"formula": "Rb3NaLa", "functional": "SCAN", "state": "PBEsol geometry", "formation_enthalpy_0k_ev_per_atom": 0.6683, "vol_a3_per_atom": 75.295, "spacegroup": "Pm-3m (221)", "lattice": [[-3.638, -6.117, -1.219], [0.977, -1.952, 6.883], [-6.160, 3.303, 1.812]], "species": ["Na", "Rb", "Rb", "Rb", "La"], "frac_coords": [[0.500, 0.500, 0.500], [0.000, 0.500, 0.000], [0.000, 0.000, 0.500], [0.500, 0.000, 0.000], [0.000, 0.000, 0.000]]}



No. 12
{"formula": "Na2LaRhS", "functional": "SCAN", "state": "PBEsol geometry", "e_form_raw_ev_per_atom": -0.37, "vol_a3_per_atom": 26.271, "spacegroup": "P4/mmm (123)", "lattice": [[5.054, 0.000, 0.000], [0.000, 5.054, 0.000], [0.000, 0.000, 5.143]], "species": ["Na", "Na", "S", "Rh", "La"], "frac_coords": [[0.000, 0.500, 0.000], [0.500, 0.000, 0.000], [0.500, 0.500, 0.500], [0.000, 0.000, 0.000], [0.000, 0.000, 0.500]]}



No. 13
{"formula": "NaSrLa2Rh", "functional": "SCAN", "state": "PBEsol geometry", "formation_enthalpy_0k_ev_per_atom": -0.2011, "vol_a3_per_atom": 35.364, "spacegroup": "P4/mmm (123)", "lattice": [[5.389, 0.000, 0.000], [0.000, 5.389, 0.000], [0.000, 0.000, 6.089]], "species": ["Na", "Sr", "Rh", "La", "La"], "frac_coords": [[0.000, 0.000, 0.500], [0.500, 0.500, 0.500], [0.000, 0.000, 0.000], [0.000, 0.500, 0.000], [0.500, 0.000, 0.000]]}



No. 14
{"formula": "NaLa3Ru", "functional": "SCAN", "state": "PBEsol geometry", "formation_enthalpy_0k_ev_per_atom": -0.1968, "vol_a3_per_atom": 31.548, "spacegroup": "Pmma (51)", "e_above_lowest_polymorph_mev_per_atom": 0.0, "lattice": [[6.125, 0.000, 0.000], [0.000, 6.547, 0.000], [0.000, 0.000, 7.867]], "species": ["Na", "Na", "La", "La", "La", "La", "La", "La", "Ru", "Ru"], "frac_coords": [[0.250, 0.661, 0.500], [0.750, 0.339, 0.500], [0.250, 0.166, 0.737], [0.750, 0.358, 0.000], [0.250, 0.642, 0.000], [0.750, 0.834, 0.737], [0.250, 0.166, 0.263], [0.750, 0.834, 0.263], [0.500, 0.000, 0.000], [0.000, 0.000, 0.000]]}



No. 15
{"formula": "NaLa3Ru", "functional": "SCAN", "state": "PBEsol geometry", "formation_enthalpy_0k_ev_per_atom": -0.1543, "vol_a3_per_atom": 33.953, "spacegroup": "Pm-3m (221)", "e_above_lowest_polymorph_mev_per_atom": 42.5, "lattice": [[-4.588, -2.988, -0.823], [-0.068, -1.373, 5.364], [-3.099, 4.455, 1.101]], "species": ["Ru", "Na", "La", "La", "La"], "frac_coords": [[0.000, 0.000, 0.000], [0.500, 0.500, 0.500], [0.000, 0.500, 0.000], [0.000, 0.000, 0.500], [0.500, 0.000, 0.000]]}



No. 16
{"formula": "NaLaRu2", "functional": "SCAN", "state": "PBEsol geometry", "formation_enthalpy_0k_ev_per_atom": 0.6097, "vol_a3_per_atom": 17.848, "spacegroup": "Fm-3m (225)", "lattice": [[4.656, 0.000, 0.000], [2.328, 4.033, 0.000], [2.328, 1.344, 3.802]], "species": ["Ru", "Ru", "Na", "La"], "frac_coords": [[0.250, 0.250, 0.250], [0.750, 0.750, 0.750], [0.000, 0.000, 0.000], [0.500, 0.500, 0.500]]}



No. 17
{"formula": "NaLaSb2", "functional": "SCAN", "state": "PBEsol geometry", "e_form_raw_ev_per_atom": -0.65, "vol_a3_per_atom": 28.708, "spacegroup": "I-42d (122)", "lattice": [[6.458, 0.000, 0.000], [3.229, 5.964, 0.000], [3.229, 0.000, 5.964]], "species": ["Sb", "Sb", "Sb", "Sb", "Na", "Na", "La", "La"], "frac_coords": [[0.875, 0.980, 0.520], [0.375, 0.020, 0.480], [0.605, 0.520, 0.020], [0.145, 0.480, 0.980], [0.500, 0.000, 0.000], [0.250, 0.500, 0.500], [0.000, 0.000, 0.000], [0.750, 0.500, 0.500]]}



No. 18
{"formula": "NaLa2Sb2", "functional": "SCAN", "state": "PBEsol geometry", "e_form_raw_ev_per_atom": -1.05, "vol_a3_per_atom": 30.890, "spacegroup": "P4/mbm (127)", "lattice": [[4.230, 0.000, 0.000], [0.000, 8.545, 0.000], [0.000, 0.000, 8.545]], "species": ["Sb", "Sb", "Sb", "Sb", "Na", "Na", "La", "La", "La", "La"], "frac_coords": [[0.000, 0.344, 0.844], [0.000, 0.844, 0.656], [0.000, 0.656, 0.156], [0.000, 0.156, 0.344], [0.000, 0.000, 0.000], [0.000, 0.500, 0.500], [0.500, 0.148, 0.648], [0.500, 0.648, 0.852], [0.500, 0.852, 0.352], [0.500, 0.352, 0.148]]}



No. 19
{"formula": "Na2LaSc", "functional": "SCAN", "state": "PBEsol geometry", "formation_enthalpy_0k_ev_per_atom": 0.5709, "vol_a3_per_atom": 30.859, "spacegroup": "I-42d (122)", "lattice": [[6.194, 0.000, 0.000], [3.097, 6.313, 0.000], [3.097, 0.000, 6.313]], "species": ["Sc", "Sc", "Na", "Na", "Na", "Na", "La", "La"], "frac_coords": [[0.250, 0.500, 0.500], [0.500, 0.000, 0.000], [0.142, 0.983, 0.483], [0.608, 0.017, 0.517], [0.375, 0.483, 0.017], [0.875, 0.517, 0.983], [0.750, 0.500, 0.500], [0.000, 0.000, 0.000]]}



No. 20
{"formula": "NaLa8Se12", "functional": "SCAN", "state": "PBEsol geometry", "e_form_raw_ev_per_atom": -2.24, "vol_a3_per_atom": 25.611, "spacegroup": "I-42d (122)", "lattice": [[8.945, 0.000, 0.000], [0.000, 8.945, 0.000], [-4.473, -4.473, 13.443]], "species": ["Na", "Na", "La", "La", "La", "La", "La", "La", "La", "La", "La", "La", "La", "La", "La", "La", "La", "La", "Se", "Se", "Se", "Se", "Se", "Se", "Se", "Se", "Se", "Se", "Se", "Se", "Se", "Se", "Se", "Se", "Se", "Se", "Se", "Se", "Se", "Se", "Se", "Se"], "frac_coords": [[0.000, 0.000, 0.000], [0.250, 0.750, 0.500], [0.660, 0.543, 0.581], [0.921, 0.037, 0.581], [0.333, 0.333, 0.667], [0.625, 0.995, 0.750], [0.329, 0.207, 0.919], [0.917, 0.417, 0.833], [0.590, 0.713, 0.919], [0.125, 0.755, 0.750], [0.287, 0.671, 0.081], [0.005, 0.875, 0.250], [0.583, 0.083, 0.167], [0.245, 0.375, 0.250], [0.793, 0.410, 0.081], [0.667, 0.667, 0.333], [0.963, 0.340, 0.419], [0.457, 0.079, 0.419], [0.990, 0.394, 0.635], [0.427, 0.675, 0.704], [0.645, 0.241, 0.635], [0.605, 0.356, 0.865], [0.260, 0.509, 0.865], [0.277, 0.029, 0.704], [0.657, 0.062, 0.969], [0.973, 0.075, 0.796], [0.093, 0.343, 0.031], [0.312, 0.907, 0.969], [0.823, 0.721, 0.796], [0.279, 0.027, 0.204], [0.925, 0.177, 0.204], [0.938, 0.688, 0.031], [0.325, 0.723, 0.296], [0.644, 0.740, 0.135], [0.759, 0.010, 0.365], [0.971, 0.573, 0.296], [0.491, 0.395, 0.135], [0.938, 0.688, 0.531], [0.593, 0.843, 0.531], [0.606, 0.355, 0.365], [0.312, 0.407, 0.469], [0.157, 0.062, 0.469]]}